Entry 1:
First-principles (GGA-PBE) data for an optimized crystal structure of Sc5PbSe4, as listed in the Alexandria database.

Lattice parameters (Å, degrees): 8.8211 8.8211 5.5924 90.00 90.00 90.00
Last column: nearest neighbours and their distance in Å.
Space group I4/m (No. 87)
Unique sites:
1 Sc 0.0000 0.0000 0.0000 x2  4 Se 2.79, 2 Pb 2.80
2 Sc 0.1004 0.3117 0.5000 x8  5 Se 2.73-2.80, 1 Pb 2.89
3 Pb 0.0000 0.0000 0.5000 x2  6 Sc 2.80-2.89
4 Se 0.1043 0.2991 0.0000 x8  6 Sc 2.73-2.80

Output
* ΔE_f (raw): -1.33 eV/atom
* calculated volume: 435.16 Å³ per cell
* total magnetization: 0.0 μB/cell

***

Entry 2:
First-principles (GGA-PBE) data for an optimized crystal structure of LiOs2Se, as listed in the Alexandria database.

Lattice parameters (Å, degrees): 2.7052 4.8238 4.6867 90.00 93.09 90.00
Last column: nearest neighbours and their distance in Å.
Space group P2/m (No. 10)
Unique sites:
1 Li 0.0000 0.0000 0.0000 x1  4 Se 2.64-2.77, 2 Li 2.71, 4 Os 2.75
2 Os 0.2907 0.5000 0.2355 x2  5 Os 2.53-2.71, 2 Li 2.75, 2 Se 2.76
3 Se 0.5000 0.0000 0.5000 x1  4 Li 2.64-2.77, 2 Se 2.71, 4 Os 2.76

Output
* ΔE_f (raw): 0.45 eV/atom
* calculated volume: 61.07 Å³ per cell
* total magnetization: 0.0 μB/cell

***

Entry 3:
First-principles (GGA-PBE) data for an optimized crystal structure of NiHgSb2, as listed in the Alexandria database.

Lattice parameters (Å, degrees): 6.9003 4.0026 7.5910 90.00 108.83 90.00
Last column: nearest neighbours and their distance in Å.
Space group C2/m (No. 12)
Unique sites:
1 Ni 0.0000 0.0000 0.0000 x2  6 Sb 2.57-2.58
2 Hg 0.0000 0.5000 0.5000 x2  6 Sb 3.33-3.40
3 Sb 0.2235 0.5000 0.1603 x4  3 Ni 2.57-2.58

Output
* ΔE_f (raw): -0.08 eV/atom
* calculated volume: 198.44 Å³ per cell
* total magnetization: 0.0 μB/cell